Record 1
# TbSmTe6

Crystalline TbSmTe6 at its relaxed geometry (PBE, Alexandria via LeMat-Bulk).

Cell: 4.360 13.701 13.701 Å, 18.30 90.00 90.00°
Fractional positions:
Tb: 0.000 0.000 0.000
Sm: 0.500 0.655 0.655
Te: 0.000 0.119 0.119
Te: 0.000 0.407 0.407
Te: 0.000 0.749 0.749
Te: 0.500 0.249 0.249
Te: 0.500 0.534 0.534
Te: 0.500 0.907 0.907

As for the uncorrected formation energy: -7.6 eV per formula unit. The value obtained for the electronic total energy is -35.78 eV for the cell shown. The magnetization comes out at 0.00 Bohr magnetons per cell.

Record 2
# TlCdHg2I

Crystalline TlCdHg2I at its relaxed geometry (PBE, Alexandria via LeMat-Bulk).

Cell: 5.542 5.542 6.552 Å, 90.00 90.00 90.00°
Fractional positions:
Tl: 0.000 0.000 0.000
Cd: 0.500 0.500 0.500
Hg: 0.000 0.500 0.500
Hg: 0.500 0.000 0.500
I: 0.500 0.500 0.000

As for the uncorrected formation energy: -0.3 eV per formula unit. The value obtained for the electronic total energy is -5.69 eV for the cell shown. Its energy above the most stable polymorph in this dataset is 0.0440 eV per atom. The magnetization comes out at 0.00 Bohr magnetons per cell.

Record 3
# RbZrTeAu2

Crystalline RbZrTeAu2 at its relaxed geometry (PBE, Alexandria via LeMat-Bulk).

Cell: 5.447 5.447 5.894 Å, 90.00 90.00 90.00°
Fractional positions:
Rb: 0.000 0.000 0.000
Zr: 0.000 0.000 0.500
Te: 0.500 0.500 0.500
Au: 0.000 0.500 0.000
Au: 0.500 0.000 0.000

As for the uncorrected formation energy: 7.6 eV per formula unit. The value obtained for the electronic total energy is -11.65 eV for the cell shown. The magnetization comes out at 1.97 Bohr magnetons per cell.

Record 4
# Na2HfTiSe4

Crystalline Na2HfTiSe4 at its relaxed geometry (PBE, Alexandria via LeMat-Bulk).

Cell: 6.607 3.810 7.413 Å, 90.00 107.24 90.00°
Fractional positions:
Na: 0.000 0.000 0.000
Na: 0.500 0.500 0.000
Hf: 0.000 0.500 0.500
Ti: 0.500 0.000 0.500
Se: 0.243 0.000 0.720
Se: 0.264 0.500 0.284
Se: 0.736 0.500 0.716
Se: 0.757 0.000 0.280

As for the uncorrected formation energy: -9.8 eV per formula unit. The value obtained for the electronic total energy is -44.21 eV for the cell shown. The magnetization comes out at 1.53 Bohr magnetons per cell.

Record 5
# La2Ni4AgGe3

Crystalline La2Ni4AgGe3 at its relaxed geometry (PBE, Alexandria via LeMat-Bulk).

Cell: 4.248 4.248 9.871 Å, 90.00 90.00 90.00°
Fractional positions:
La: 0.000 0.500 0.246
La: 0.500 0.000 0.754
Ni: 0.000 0.000 0.000
Ni: 0.000 0.500 0.641
Ni: 0.500 0.000 0.359
Ni: 0.500 0.500 0.000
Ag: 0.000 0.000 0.500
Ge: 0.000 0.500 0.881
Ge: 0.500 0.000 0.119
Ge: 0.500 0.500 0.500

Its formation energy is -0.555 eV per atom. The value obtained for the electronic total energy is -55.23 eV for the cell shown. The magnetization comes out at 0.00 Bohr magnetons per cell.

Record 6
# MgIr2Br

Crystalline MgIr2Br at its relaxed geometry (PBE, Alexandria via LeMat-Bulk).

Cell: 4.723 4.723 3.002 Å, 90.00 90.00 103.70°
Fractional positions:
Mg: 0.000 0.000 0.000
Ir: 0.000 0.500 0.500
Ir: 0.500 0.000 0.500
Br: 0.500 0.500 0.000

As for the uncorrected formation energy: 2.3 eV per formula unit. The value obtained for the electronic total energy is -18.73 eV for the cell shown. Its energy above the most stable polymorph in this dataset is 0.4604 eV per atom. The magnetization comes out at 0.00 Bohr magnetons per cell.

Record 7
# InTcTe2

Crystalline InTcTe2 at its relaxed geometry (PBE, Alexandria via LeMat-Bulk).

Cell: 5.450 5.450 5.450 Å, 131.02 131.02 71.78°
Fractional positions:
In: 0.000 0.000 0.000
Tc: 0.250 0.750 0.500
Te: 0.500 0.500 0.000
Te: 0.750 0.250 0.500

As for the uncorrected formation energy: 2.7 eV per formula unit. The value obtained for the electronic total energy is -16.73 eV for the cell shown. The magnetization comes out at 0.00 Bohr magnetons per cell.

Record 8
# Dy3ThSc6

Crystalline Dy3ThSc6 at its relaxed geometry (PBE, Alexandria via LeMat-Bulk).

Cell: 8.497 8.497 8.541 Å, 90.00 90.00 116.76°
Fractional positions:
Dy: 0.047 0.953 0.500
Dy: 0.206 0.329 0.681
Dy: 0.329 0.206 0.181
Dy: 0.671 0.794 0.681
Dy: 0.794 0.671 0.181
Dy: 0.953 0.047 0.000
Th: 0.223 0.777 0.258
Th: 0.777 0.223 0.758
Sc: 0.027 0.327 0.354
Sc: 0.178 0.473 0.015
Sc: 0.274 0.726 0.622
Sc: 0.327 0.027 0.854
Sc: 0.441 0.559 0.368
Sc: 0.473 0.178 0.515
Sc: 0.527 0.822 0.015
Sc: 0.559 0.441 0.868
Sc: 0.673 0.973 0.354
Sc: 0.726 0.274 0.122
Sc: 0.822 0.527 0.515
Sc: 0.973 0.673 0.854

Its formation energy is 0.147 eV per atom. The value obtained for the electronic total energy is -115.50 eV for the cell shown. Its energy above the most stable polymorph in this dataset is 0.0000 eV per atom. The magnetization comes out at 0.00 Bohr magnetons per cell.

Record 9
# ZnGeO2

Crystalline ZnGeO2 at its relaxed geometry (PBE, Alexandria via LeMat-Bulk).

Cell: 3.988 3.988 3.988 Å, 60.00 60.00 60.00°
Fractional positions:
Zn: 0.000 0.000 0.000
Ge: 0.500 0.500 0.500
O: 0.250 0.250 0.250
O: 0.750 0.750 0.750

As for the uncorrected formation energy: -1.7 eV per formula unit. The value obtained for the electronic total energy is -17.48 eV for the cell shown. Its energy above the most stable polymorph in this dataset is 0.5972 eV per atom. The magnetization comes out at 0.00 Bohr magnetons per cell.